1.
First-principles (PBE) data for crystalline InIrPt2 at its relaxed geometry, as listed in Alexandria.

Lattice parameters (Å, degrees): 5.5786 5.5786 5.5786 150.15 129.03 60.20
Sites, in units of the cell vectors:
Pt: 0.4935 0.4935 0.0000
Ir: 0.2500 0.7500 0.5000
In: 0.7500 0.2500 0.5000
Pt: 0.0065 0.0065 0.0000

ΔE_f = -0.01 eV per atom
DFT total energy = -5.927 eV/atom
V = 66.58 Å³/cell

2.
First-principles (PBE) data for crystalline PuInIrPt at its relaxed geometry, as listed in Alexandria.

Lattice parameters (Å, degrees): 4.7899 4.7899 4.7899 60.00 60.00 60.00
Site moments in Bohr magnetons follow the coordinates.
Sites, in units of the cell vectors:
Pt: 0.2500 0.2500 0.2500  -0.10
Ir: 0.7500 0.7500 0.7500  -0.30
In: 0.5000 0.5000 0.5000  0.01
Pu: 0.0000 0.0000 0.0000  4.83

ΔE_f = -0.42 eV per atom
DFT total energy = -8.410 eV/atom
V = 77.71 Å³/cell

3.
First-principles (PBE) data for crystalline ScInIrPt at its relaxed geometry, as listed in Alexandria.

Lattice parameters (Å, degrees): 4.3065 4.3065 4.8043 116.62 116.63 90.00
Sites, in units of the cell vectors:
Ir: 0.2500 0.7500 0.5000
In: 0.0000 0.0000 0.0000
Pt: 0.7500 0.2500 0.5000
Sc: 0.5000 0.5000 0.0000

ΔE_f = -0.78 eV per atom
DFT total energy = -6.772 eV/atom
V = 68.92 Å³/cell

4.
First-principles (PBE) data for crystalline Sc5In2IrPt2 at its relaxed geometry, as listed in Alexandria.

Lattice parameters (Å, degrees): 3.2826 11.2579 11.2579 90.00 90.00 90.00
Sites, in units of the cell vectors:
In: 0.0000 0.8267 0.6733
Sc: 0.5000 0.0664 0.8116
In: 0.0000 0.6733 0.1733
Pt: 0.0000 0.6342 0.8658
Sc: 0.5000 0.3116 0.5664
Sc: 0.5000 0.6884 0.4336
Sc: 0.5000 0.4336 0.3116
Ir: 0.0000 0.5000 0.5000
Sc: 0.5000 0.0000 0.5000
Pt: 0.0000 0.3658 0.1342
Sc: 0.5000 0.8116 0.9336
In: 0.0000 0.3267 0.8267
Sc: 0.5000 0.9336 0.1884
In: 0.0000 0.1733 0.3267
Pt: 0.0000 0.1342 0.6342
Sc: 0.5000 0.5664 0.6884
Sc: 0.5000 0.1884 0.0664
Pt: 0.0000 0.8658 0.3658
Sc: 0.5000 0.5000 0.0000
Ir: 0.0000 0.0000 0.0000

ΔE_f = -0.84 eV per atom
DFT total energy = -6.652 eV/atom
V = 416.04 Å³/cell

5.
First-principles (PBE) data for crystalline Sc5In2Ir2Pt at its relaxed geometry, as listed in Alexandria.

Lattice parameters (Å, degrees): 3.3579 11.0976 11.0976 90.00 90.00 90.00
Sites, in units of the cell vectors:
Sc: 0.5000 0.5000 0.0000
Ir: 0.0000 0.3645 0.1355
Ir: 0.0000 0.8645 0.3645
In: 0.0000 0.3289 0.8289
Sc: 0.5000 0.8051 0.9276
Sc: 0.5000 0.9276 0.1949
Sc: 0.5000 0.4276 0.3051
Sc: 0.5000 0.5724 0.6949
In: 0.0000 0.1711 0.3289
Sc: 0.5000 0.0000 0.5000
Sc: 0.5000 0.0724 0.8051
In: 0.0000 0.6711 0.1711
Sc: 0.5000 0.3051 0.5724
Pt: 0.0000 0.5000 0.5000
Ir: 0.0000 0.1355 0.6355
Sc: 0.5000 0.1949 0.0724
Pt: 0.0000 0.0000 0.0000
Sc: 0.5000 0.6949 0.4276
In: 0.0000 0.8289 0.6711
Ir: 0.0000 0.6355 0.8645

ΔE_f = -0.77 eV per atom
DFT total energy = -6.856 eV/atom
V = 413.55 Å³/cell

6.
First-principles (PBE) data for crystalline SmInIrPt at its relaxed geometry, as listed in Alexandria.

Lattice parameters (Å, degrees): 4.8252 4.8252 4.8252 60.00 60.00 60.00
Sites, in units of the cell vectors:
In: 0.2500 0.2500 0.2500
Sm: 0.7500 0.7500 0.7500
Ir: 0.0000 0.0000 0.0000
Pt: 0.5000 0.5000 0.5000

ΔE_f = -0.57 eV per atom
DFT total energy = -6.158 eV/atom
V = 79.44 Å³/cell

7.
First-principles (PBE) data for crystalline Sr2In6IrPt at its relaxed geometry, as listed in Alexandria.

Lattice parameters (Å, degrees): 7.3867 7.3867 7.3867 60.00 60.00 90.00
Sites, in units of the cell vectors:
Sr: 0.7500 0.2500 0.5000
In: 0.7493 0.7493 0.0000
Pt: 0.0000 0.0000 0.0000
Sr: 0.2500 0.7500 0.5000
In: 0.7493 0.2507 0.0000
In: 0.2507 0.2507 0.4986
In: 0.2507 0.7493 0.0000
In: 0.7493 0.7493 0.5014
In: 0.2507 0.2507 0.0000
Ir: 0.5000 0.5000 0.0000

ΔE_f = -0.27 eV per atom
DFT total energy = -3.736 eV/atom
V = 285.00 Å³/cell

8.
First-principles (PBE) data for crystalline TbInIrPt at its relaxed geometry, as listed in Alexandria.

Lattice parameters (Å, degrees): 4.7766 4.7766 4.7766 60.00 60.00 60.00
Sites, in units of the cell vectors:
In: 0.5000 0.5000 0.5000
Tb: 0.0000 0.0000 0.0000
Ir: 0.7500 0.7500 0.7500
Pt: 0.2500 0.2500 0.2500

ΔE_f = -0.65 eV per atom
DFT total energy = -6.216 eV/atom
V = 77.06 Å³/cell

9.
First-principles (PBE) data for crystalline In2TeIrPt at its relaxed geometry, as listed in Alexandria.

Lattice parameters (Å, degrees): 5.5965 4.8132 5.5965 90.00 90.00 90.00
Sites, in units of the cell vectors:
Pt: 0.5000 0.5000 0.5000
In: 0.0000 0.0000 0.5000
Ir: 0.0000 0.5000 0.0000
Te: 0.0000 0.0000 0.0000
In: 0.5000 0.0000 0.0000

DFT total energy = -3.426 eV/atom
Formation energy without anion corrections = 1278.3 meV/atom
V = 150.75 Å³/cell

10.
First-principles (PBE) data for crystalline ThInIrPt at its relaxed geometry, as listed in Alexandria.

Lattice parameters (Å, degrees): 4.9170 4.9170 4.9170 60.00 60.00 60.00
Sites, in units of the cell vectors:
Th: 0.0000 0.0000 0.0000
Ir: 0.2500 0.2500 0.2500
In: 0.5000 0.5000 0.5000
Pt: 0.7500 0.7500 0.7500

ΔE_f = -0.66 eV per atom
DFT total energy = -6.921 eV/atom
V = 84.06 Å³/cell

11.
First-principles (PBE) data for crystalline UInIrPt at its relaxed geometry, as listed in Alexandria.

Lattice parameters (Å, degrees): 4.7890 4.7890 4.7890 60.00 60.00 60.00
Site moments in Bohr magnetons follow the coordinates.
Sites, in units of the cell vectors:
Pt: 0.2500 0.2500 0.2500  -0.08
U: 0.5000 0.5000 0.5000  1.48
In: 0.0000 0.0000 0.0000  0.01
Ir: 0.7500 0.7500 0.7500  -0.16

ΔE_f = -0.43 eV per atom
DFT total energy = -7.658 eV/atom
V = 77.67 Å³/cell

12.
First-principles (PBE) data for crystalline YInIrPt at its relaxed geometry, as listed in Alexandria.

Lattice parameters (Å, degrees): 4.7702 4.7702 4.7702 60.00 60.00 60.00
Sites, in units of the cell vectors:
Y: 0.0000 0.0000 0.0000
Ir: 0.2500 0.2500 0.2500
In: 0.5000 0.5000 0.5000
Pt: 0.7500 0.7500 0.7500

ΔE_f = -0.65 eV per atom
DFT total energy = -6.677 eV/atom
V = 76.75 Å³/cell

13.
First-principles (PBE) data for crystalline Pu8InIr6 at its relaxed geometry, as listed in Alexandria.

Lattice parameters (Å, degrees): 8.3320 8.3320 7.5248 56.38 56.38 60.00
Site moments in Bohr magnetons follow the coordinates.
Sites, in units of the cell vectors:
Pu: 0.4155 0.7972 0.6648  5.17
Ir: 0.2846 0.6001 0.1692  -0.36
Ir: 0.9461 0.2846 0.1692  -0.36
Ir: 0.7154 0.3999 0.8308  -0.36
Pu: 0.2028 0.8775 0.3352  5.17
Ir: 0.0539 0.7154 0.8308  -0.36
Pu: 0.7972 0.1225 0.6648  5.17
Ir: 0.3999 0.0539 0.8308  -0.36
Pu: 0.6726 0.6726 0.9822  5.06
Pu: 0.8775 0.5845 0.3352  5.17
Ir: 0.6001 0.9461 0.1692  -0.36
Pu: 0.3274 0.3274 0.0178  5.06
Pu: 0.5845 0.2028 0.3352  5.17
In: 0.0000 0.0000 0.0000  0.01
Pu: 0.1225 0.4155 0.6648  5.17

ΔE_f = -0.35 eV per atom
DFT total energy = -11.718 eV/atom
V = 347.88 Å³/cell

14.
First-principles (PBE) data for crystalline PuIn2Ir at its relaxed geometry, as listed in Alexandria.

Lattice parameters (Å, degrees): 3.1397 3.1397 10.8580 81.69 81.69 60.00
Site moments in Bohr magnetons follow the coordinates.
Sites, in units of the cell vectors:
Pu: 0.0000 0.0000 0.0000  5.54
In: 0.1001 0.1001 0.6998  0.00
Ir: 0.5000 0.5000 0.5000  -0.17
In: 0.8999 0.8999 0.3002  0.00

ΔE_f = 0.26 eV per atom
DFT total energy = -6.906 eV/atom
V = 91.39 Å³/cell

15.
First-principles (PBE) data for crystalline PuInIr2 at its relaxed geometry, as listed in Alexandria.

Lattice parameters (Å, degrees): 3.1343 3.1343 7.5253 90.00 90.00 90.00
Site moments in Bohr magnetons follow the coordinates.
Sites, in units of the cell vectors:
Ir: 0.0000 0.0000 0.7350  -0.17
Ir: 0.0000 0.0000 0.2650  -0.17
In: 0.5000 0.5000 0.5000  0.01
Pu: 0.5000 0.5000 0.0000  4.82

ΔE_f = -0.20 eV per atom
DFT total energy = -8.894 eV/atom
V = 73.93 Å³/cell

16.
First-principles (PBE) data for crystalline Pu4In5Ir2 at its relaxed geometry, as listed in Alexandria.

Lattice parameters (Å, degrees): 3.4432 7.1764 11.7451 76.08 90.00 90.00
Site moments in Bohr magnetons follow the coordinates.
Sites, in units of the cell vectors:
In: 0.0000 0.2949 0.8154  -0.01
In: 0.0000 0.5000 0.0000  0.02
Pu: 0.5000 0.6315 0.6009  5.34
Ir: 0.0000 0.2985 0.2341  -0.32
Pu: 0.5000 0.1035 0.1166  5.33
Pu: 0.5000 0.8965 0.8834  5.33
In: 0.0000 0.0728 0.6181  -0.03
In: 0.0000 0.9272 0.3819  -0.03
Ir: 0.0000 0.7015 0.7659  -0.32
In: 0.0000 0.7051 0.1846  -0.01
Pu: 0.5000 0.3685 0.3991  5.34

ΔE_f = -0.16 eV per atom
DFT total energy = -8.227 eV/atom
V = 281.70 Å³/cell

17.
First-principles (PBE) data for crystalline PuIn4Ir at its relaxed geometry, as listed in Alexandria.

Lattice parameters (Å, degrees): 4.3735 7.4447 8.5685 90.00 90.00 90.00
Site moments in Bohr magnetons follow the coordinates.
Sites, in units of the cell vectors:
In: 0.5000 0.9321 0.7500  -0.01
In: 0.5000 0.6826 0.0623  -0.01
In: 0.5000 0.3174 0.9377  -0.01
In: 0.5000 0.6826 0.4377  -0.01
In: 0.0000 0.0000 0.0000  0.00
In: 0.5000 0.3174 0.5623  -0.01
Ir: 0.0000 0.7913 0.2500  -0.08
Ir: 0.0000 0.2087 0.7500  -0.08
In: 0.5000 0.0679 0.2500  -0.01
In: 0.0000 0.0000 0.5000  0.00
Pu: 0.0000 0.3956 0.2500  5.43
Pu: 0.0000 0.6044 0.7500  5.43

ΔE_f = -0.22 eV per atom
DFT total energy = -5.909 eV/atom
V = 278.99 Å³/cell

18.
First-principles (PBE) data for crystalline PuInIr2 at its relaxed geometry, as listed in Alexandria.

Lattice parameters (Å, degrees): 3.7416 4.4754 4.4754 90.00 90.00 90.00
Site moments in Bohr magnetons follow the coordinates.
Sites, in units of the cell vectors:
Pu: 0.5000 0.0000 0.0000  4.76
In: 0.5000 0.5000 0.5000  0.01
Ir: 0.0000 0.0000 0.5000  -0.14
Ir: 0.0000 0.5000 0.0000  -0.14

ΔE_f = -0.25 eV per atom
DFT total energy = -8.946 eV/atom
V = 74.94 Å³/cell

19.
First-principles (PBE) data for crystalline PuIn12Ir6 at its relaxed geometry, as listed in Alexandria.

Lattice parameters (Å, degrees): 7.8753 7.8753 7.8753 106.15 106.15 106.15
Site moments in Bohr magnetons follow the coordinates.
Sites, in units of the cell vectors:
In: 0.5000 0.1209 0.8791  0.00
In: 0.4066 0.4066 0.1455  0.01
Ir: 0.2703 0.6886 0.2703  0.02
In: 0.1209 0.5000 0.8791  0.00
In: 0.8791 0.1209 0.5000  0.00
In: 0.5934 0.8545 0.5934  0.01
In: 0.8791 0.5000 0.1209  0.00
Ir: 0.7297 0.7297 0.3114  0.02
In: 0.5934 0.5934 0.8545  0.01
In: 0.8545 0.5934 0.5934  0.01
In: 0.4066 0.1455 0.4066  0.01
In: 0.1455 0.4066 0.4066  0.01
Pu: 0.0000 0.0000 0.0000  5.71
Ir: 0.2703 0.2703 0.6886  0.02
Ir: 0.3114 0.7297 0.7297  0.02
Ir: 0.6886 0.2703 0.2703  0.02
In: 0.1209 0.8791 0.5000  0.00
In: 0.5000 0.8791 0.1209  0.00
Ir: 0.7297 0.3114 0.7297  0.02

ΔE_f = -0.06 eV per atom
DFT total energy = -5.347 eV/atom
V = 415.85 Å³/cell

20.
First-principles (PBE) data for crystalline PuInIrRh at its relaxed geometry, as listed in Alexandria.

Lattice parameters (Å, degrees): 4.7329 4.7329 4.7329 60.00 60.00 60.00
Site moments in Bohr magnetons follow the coordinates.
Sites, in units of the cell vectors:
In: 0.0000 0.0000 0.0000  0.01
Pu: 0.5000 0.5000 0.5000  4.83
Ir: 0.7500 0.7500 0.7500  -0.20
Rh: 0.2500 0.2500 0.2500  -0.20

ΔE_f = -0.39 eV per atom
DFT total energy = -8.710 eV/atom
V = 74.97 Å³/cell

21.
First-principles (PBE) data for crystalline PuInIrRu at its relaxed geometry, as listed in Alexandria.

Lattice parameters (Å, degrees): 4.7021 4.7021 4.7021 60.00 60.00 60.00
Site moments in Bohr magnetons follow the coordinates.
Sites, in units of the cell vectors:
In: 0.0000 0.0000 0.0000  0.01
Ir: 0.2500 0.2500 0.2500  -0.21
Pu: 0.5000 0.5000 0.5000  4.72
Ru: 0.7500 0.7500 0.7500  -0.48

ΔE_f = -0.24 eV per atom
DFT total energy = -9.038 eV/atom
V = 73.51 Å³/cell

22.
First-principles (PBE) data for crystalline TmPuInIr at its relaxed geometry, as listed in Alexandria.

Lattice parameters (Å, degrees): 5.0485 5.0485 5.0485 60.00 60.00 60.00
Site moments in Bohr magnetons follow the coordinates.
Sites, in units of the cell vectors:
Ir: 0.5000 0.5000 0.5000  -0.22
In: 0.0000 0.0000 0.0000  -0.01
Tm: 0.7500 0.7500 0.7500  0.08
Pu: 0.2500 0.2500 0.2500  5.21

ΔE_f = -0.34 eV per atom
DFT total energy = -7.944 eV/atom
V = 90.98 Å³/cell

23.
First-principles (PBE) data for crystalline YPuInIr at its relaxed geometry, as listed in Alexandria.

Lattice parameters (Å, degrees): 5.0871 5.0871 5.0871 60.00 60.00 60.00
Site moments in Bohr magnetons follow the coordinates.
Sites, in units of the cell vectors:
Pu: 0.7500 0.7500 0.7500  5.24
Y: 0.2500 0.2500 0.2500  0.06
Ir: 0.0000 0.0000 0.0000  -0.21
In: 0.5000 0.5000 0.5000  0.00

ΔE_f = -0.32 eV per atom
DFT total energy = -8.419 eV/atom
V = 93.09 Å³/cell

24.
First-principles (PBE) data for crystalline PuZnInIr at its relaxed geometry, as listed in Alexandria.

Lattice parameters (Å, degrees): 4.8057 4.8057 4.8057 60.00 60.00 60.00
Site moments in Bohr magnetons follow the coordinates.
Sites, in units of the cell vectors:
In: 0.5000 0.5000 0.5000  0.00
Zn: 0.7500 0.7500 0.7500  0.02
Ir: 0.2500 0.2500 0.2500  -0.24
Pu: 0.0000 0.0000 0.0000  5.02

ΔE_f = -0.19 eV per atom
DFT total energy = -6.991 eV/atom
V = 78.48 Å³/cell

25.
First-principles (PBE) data for crystalline Rb2In2Ir at its relaxed geometry, as listed in Alexandria.

Lattice parameters (Å, degrees): 7.3408 7.3408 6.5325 90.00 90.00 90.00
Sites, in units of the cell vectors:
In: 0.2936 0.7936 0.0000
Ir: 0.0000 0.0000 0.0000
Ir: 0.5000 0.5000 0.0000
In: 0.2064 0.2936 0.0000
In: 0.7064 0.2064 0.0000
Rb: 0.6737 0.8263 0.5000
Rb: 0.8263 0.3263 0.5000
In: 0.7936 0.7064 0.0000
Rb: 0.1737 0.6737 0.5000
Rb: 0.3263 0.1737 0.5000

ΔE_f = 0.14 eV per atom
DFT total energy = -3.116 eV/atom
V = 352.02 Å³/cell